Entry from the Alexandria database: crystalline CoPdI2O at its relaxed geometry (PBE+U).

Output
As for the density of states at the Fermi level: 7.477 states/eV/f.u. Its space-group type is No. 123. The raw total energy comes out at -3.270 eV/atom. Its magnetization is 0.54 μB per atom.

Cell lengths 5.599, 5.599, 3.864 Å; angles 90.00, 90.00, 90.00 degrees
Sites, in units of the cell vectors:
Co1 0.000 0.000 0.000
Pd1 0.500 0.500 0.500
I1 0.000 0.500 0.500
I2 0.500 0.000 0.500
O1 0.500 0.500 0.000